Tb12ErTh7 PBE-GGA optimized geometry; crystal system = cubic; calculated formation energy = 0.95 eV per atom
1.0
0.683 9.309 -3.602
1.560 -6.559 -7.392
-9.123 -1.424 3.852
Tb Er Th
12 1 7
Direct
0.494 0.747 0.747 Tb
0.001 0.747 0.253 Tb
0.506 0.253 0.253 Tb
0.999 0.253 0.747 Tb
0.747 0.999 0.253 Tb
0.747 0.494 0.747 Tb
0.253 0.001 0.747 Tb
0.253 0.506 0.253 Tb
0.747 0.747 0.494 Tb
0.253 0.253 0.506 Tb
0.747 0.253 0.001 Tb
0.253 0.747 0.999 Tb
0.000 0.000 0.000 Er
0.500 0.500 0.000 Th
0.000 0.500 0.500 Th
0.500 0.000 0.500 Th
0.500 0.500 0.500 Th
0.000 0.000 0.500 Th
0.500 0.000 0.000 Th
0.000 0.500 0.000 Th

***

La3Pr3Sm2 PBE-GGA optimized geometry; crystal system = orthorhombic; calculated formation energy = 0.01 eV per atom; excess energy over the best structure of this formula in the dataset = 0 meV per atom
1.0
5.238 0.000 0.000
0.000 5.243 0.000
-2.619 -2.621 10.456
La Pr Sm
3 3 2
Direct
0.626 0.626 0.252 La
0.374 0.374 0.748 La
0.500 0.000 0.000 La
0.128 0.128 0.255 Pr
0.000 0.500 0.000 Pr
0.872 0.872 0.745 Pr
0.749 0.249 0.499 Sm
0.251 0.751 0.501 Sm

***

Calculated DFT total energy, -93.13; -38.45 eV per cell (same order as the records).
Calculated total magnetization, 0.00; 0.00 μB/f.u. (same order as the records).